# 1
## CsK8Na6 (GGA-PBE)

Data for a relaxed CsK8Na6 crystal.

The magnetic moment is 0.000 μB/atom. For the formation energy, the calculation gives 0.06 eV/atom. The final energy is -50.1 eV for the cell shown. For the density of states at the Fermi level, the calculation gives 0.71 states/eV/atom. For the volume, the calculation gives 952 Å³/f.u.

The structure belongs to space group R-3 (No. 148, hexagonal axes); the cell edges are 11.5951, 11.5951 and 24.5163 Å and the angles 90.00°, 90.00° and 120.00°. Symmetry generates all atoms from Cs at (0.0000, 0.0000, 0.0000), K at (0.0000, 0.0000, 0.2823), K at (0.0180, 0.6483, 0.7901) and Na at (0.0146, 0.3064, 0.3724).


# 2
## Cs10KNa3 (GGA-PBE)

Data for a relaxed Cs10KNa3 crystal.

The magnetic moment is 0.000 μB/atom. For the formation energy, the calculation gives 0.03 eV/atom. The final energy is -104.8 eV for the cell shown. For the density of states at the Fermi level, the calculation gives 1.01 states/eV/atom. For the volume, the calculation gives 1383 Å³/f.u.

The structure belongs to space group Fm-3m (No. 225); the cell edges are 22.2805, 22.2805 and 22.2805 Å and the angles 90.00°, 90.00° and 90.00°. Symmetry generates all atoms from Cs at (0.0000, 0.1686, 0.1686), Cs at (0.1205, 0.1205, 0.3795), K at (0.2500, 0.2500, 0.2500) and Na at (0.0000, 0.0000, 0.2746).


Among the records above, which one has the highest density of states at the Fermi level?
Cs10KNa3